Tl2Ga2SnO6 | GGA-PBE | relaxed

Lattice parameters (Å, degrees): 6.794 6.794 6.794 51.76 51.76 51.76
Fractional coordinates of all 11 atoms:
Tl: 0.203 0.203 0.203
Tl: 0.797 0.797 0.797
Ga: 0.392 0.392 0.392
Ga: 0.608 0.608 0.608
Sn: 0.000 0.000 0.000
O: 0.233 0.233 0.753
O: 0.233 0.753 0.233
O: 0.247 0.767 0.767
O: 0.753 0.233 0.233
O: 0.767 0.247 0.767
O: 0.767 0.767 0.247

Uncorrected formation energy, meV/atom: -1294
VASP energy, eV/atom: -5.343